Below is a geometry-optimized La5ScZn6 structure, with properties calculated at the PBE level.

a = 5.1870 Å, b = 7.4041 Å, c = 9.0697 Å
α = 65.91°, β = 73.37°, γ = 90.00°
Last column: nearest neighbours and their distance in Å.
Fractional positions:
1 Sc 0.0000 0.0000 0.0000  8 Zn 2.96-3.03
2 Zn 0.8454 0.6171 0.3089  1 Sc 2.96, 5 La 3.11-3.29
3 Zn 0.8455 0.0740 0.3089  1 Sc 2.96, 5 La 3.11-3.29
4 Zn 0.5000 0.7891 0.0000  2 Sc 3.03, 1 Zn 3.12, 6 La 3.16-3.36
5 Zn 0.5000 0.2109 0.0000  2 Sc 3.03, 1 Zn 3.12, 6 La 3.16-3.36
6 Zn 0.1545 0.9260 0.6911  1 Sc 2.96, 5 La 3.11-3.29
7 Zn 0.1546 0.3829 0.6911  1 Sc 2.96, 5 La 3.11-3.29
8 La 0.6747 0.1747 0.6506  8 Zn 3.11-3.36
9 La 0.3358 0.3361 0.3277  8 Zn 3.28-3.35, 4 La 3.63-3.66
10 La 0.0000 0.5000 0.0000  8 Zn 3.15-3.36
11 La 0.6642 0.6639 0.6723  8 Zn 3.28-3.35, 4 La 3.63-3.66
12 La 0.3253 0.8253 0.3494  8 Zn 3.11-3.36

The value obtained for the formation energy is -297 meV per atom. The calculation puts the density of states at the Fermi level at 13.93 states/eV/f.u. The total energy is -3.515 eV/atom.